Record 1
Material: NaAs2Pd3
Method: DFT, PBE
State: optimized geometry

Cell: 4.0302 8.7054 9.9799 Å, 106.61 90.00 103.38°
With the nearest neighbours (Å) after each atom.
Fractional coordinates of all 18 atoms:
Na1 0.1583 0.3165 0.7025  6 As 3.06-3.24, 5 Pd 3.20-3.29
Na2 0.8417 0.6835 0.2975  6 As 3.06-3.24, 5 Pd 3.20-3.29
Na3 0.0000 0.0000 0.0000  6 Pd 3.08-3.14, 6 As 3.18-3.21
As1 0.1956 0.3911 0.1313  6 Pd 2.50-2.60
As2 0.8044 0.6089 0.8687  6 Pd 2.50-2.60
As3 0.4571 0.9142 0.2198  4 Pd 2.49-2.67
As4 0.5429 0.0858 0.7802  4 Pd 2.49-2.67
As5 0.3630 0.7260 0.5426  7 Pd 2.47-2.70
As6 0.6370 0.2740 0.4574  7 Pd 2.47-2.70
Pd1 0.0398 0.0796 0.3214  4 As 2.49-2.70
Pd2 0.9602 0.9204 0.6786  4 As 2.49-2.70
Pd3 0.2178 0.4356 0.3950  4 As 2.47-2.61
Pd4 0.7822 0.5644 0.6050  4 As 2.47-2.61
Pd5 0.6214 0.2427 0.1995  3 As 2.51-2.57
Pd6 0.3786 0.7573 0.8005  3 As 2.51-2.57
Pd7 0.5000 0.0000 0.5000  4 As 2.48-2.67
Pd8 0.3178 0.6357 0.0393  4 As 2.50-2.60
Pd9 0.6822 0.3643 0.9607  4 As 2.50-2.60

Summary:
- density of states at the Fermi level (states/eV/f.u.) = 2.9
- ΔE_f (eV/atom) = -0.45
- energy above the lowest structure with this stoichiometry (eV per formula unit) = 0.00
- E (eV per atom) = -4.8116

=====

Record 2
Material: NaAs2Pd3
Method: DFT, PBE
State: optimized geometry

Cell: 4.1235 8.1726 7.6894 Å, 114.54 90.00 104.61°
With the nearest neighbours (Å) after each atom.
Fractional coordinates of all 12 atoms:
Na1 0.8438 0.6877 0.9336  7 As 3.16-3.39, 6 Pd 3.31-3.47
Na2 0.1562 0.3123 0.0664  7 As 3.16-3.39, 6 Pd 3.31-3.47
As1 0.4853 0.9706 0.8280  4 Pd 2.47-2.52, 1 As 2.48
As2 0.5147 0.0294 0.1720  4 Pd 2.47-2.52, 1 As 2.48
As3 0.8113 0.6225 0.3221  4 Pd 2.47-2.53
As4 0.1887 0.3775 0.6779  4 Pd 2.47-2.53
Pd1 0.3177 0.6353 0.5775  2 As 2.47-2.52
Pd2 0.9552 0.9103 0.6347  3 As 2.47-2.50
Pd3 0.5960 0.1919 0.6787  3 As 2.47-2.53
Pd4 0.4040 0.8081 0.3213  3 As 2.47-2.53
Pd5 0.0448 0.0897 0.3653  3 As 2.47-2.50
Pd6 0.6823 0.3647 0.4225  2 As 2.47-2.52

Summary:
- density of states at the Fermi level (states/eV/f.u.) = 2.5
- ΔE_f (eV/atom) = -0.42
- energy above the lowest structure with this stoichiometry (eV per formula unit) = 0.17
- E (eV per atom) = -4.7829